Here is a geometry-optimized ScSiHg2 structure from Alexandria. Energies are from PBE.

The value obtained for the total magnetization is 0.0 Bohr magnetons per cell. As for the space-group type: No. 166. Its crystal system is trigonal. The value obtained for the raw total energy is -2.946 eV per atom. Its calculated volume is 22.1 A^3/atom.

Cell lengths 8.7697, 8.7697, 8.7697 Å; angles 22.75, 22.75, 22.75 degrees
Sites, in units of the cell vectors:
Hg  0.0039  0.0039  0.0039
Sc  0.2500  0.2500  0.2500
Si  0.7500  0.7500  0.7500
Hg  0.4961  0.4961  0.4961


Here is a geometry-optimized YZn2Cl structure from Alexandria. Energies are from PBE.

The value obtained for the total magnetization is 0.0 Bohr magnetons per cell. As for the space-group type: No. 47. Its crystal system is orthorhombic. The value obtained for the raw total energy is -3.234 eV per atom. Its calculated volume is 20.7 A^3/atom.

Cell lengths 3.3415, 4.4175, 5.6184 Å; angles 90.00, 90.00, 90.00 degrees
Sites, in units of the cell vectors:
Zn  0.5000  0.5000  0.0000
Zn  0.0000  0.0000  0.0000
Cl  0.5000  0.0000  0.5000
Y  0.0000  0.5000  0.5000


Here is a geometry-optimized LiTiNi2Cl structure from Alexandria. Energies are from PBE.

The value obtained for the total magnetization is 0.0 Bohr magnetons per cell. As for the space-group type: No. 123. Its crystal system is tetragonal. The value obtained for the raw total energy is -3.826 eV per atom. Its calculated volume is 15.3 A^3/atom.

Cell lengths 3.9426, 4.9256, 3.9426 Å; angles 90.00, 90.00, 90.00 degrees
Sites, in units of the cell vectors:
Ti  0.0000  0.5000  0.0000
Cl  0.5000  0.5000  0.5000
Ni  0.0000  0.0000  0.5000
Li  0.0000  0.0000  0.0000
Ni  0.5000  0.0000  0.0000


Here is a geometry-optimized Sb2Se3F structure from Alexandria. Energies are from PBE.

The value obtained for the total magnetization is 0.0 Bohr magnetons per cell. As for the space-group type: No. 12. Its crystal system is monoclinic. The value obtained for the raw total energy is -4.028 eV per atom. Its calculated volume is 28.4 A^3/atom.

Cell lengths 3.8369, 9.4837, 10.0615 Å; angles 74.13, 79.01, 78.33 degrees
Sites, in units of the cell vectors:
Sb  0.6509  0.1858  0.5125
Se  0.9609  0.7908  0.2874
Sb  0.3491  0.8142  0.4875
Se  0.7251  0.8830  0.6669
F  0.6034  0.4062  0.3871
Sb  0.8620  0.4657  0.8104
Se  0.6513  0.6769  0.0204
Se  0.2749  0.1170  0.3331
Se  0.0391  0.2092  0.7126
F  0.3966  0.5938  0.6129
Sb  0.1380  0.5343  0.1896
Se  0.3487  0.3231  0.9796


Here is a geometry-optimized CsYBr2Cl structure from Alexandria. Energies are from PBE.

The value obtained for the total magnetization is 0.2 Bohr magnetons per cell. As for the space-group type: No. 123. Its crystal system is tetragonal. The value obtained for the raw total energy is -4.225 eV per atom. Its calculated volume is 35.1 A^3/atom.

Cell lengths 5.7044, 5.7044, 5.3862 Å; angles 90.00, 90.00, 90.00 degrees
Each line ends with the local moment (μB).
Sites, in units of the cell vectors:
Br  0.5000  0.0000  0.0000  0.00
Br  0.0000  0.5000  0.0000  0.00
Cs  0.5000  0.5000  0.5000  0.00
Cl  0.0000  0.0000  0.5000  0.00
Y  0.0000  0.0000  0.0000  0.10


Here is a geometry-optimized TaSb2As structure from Alexandria. Energies are from PBE.

The value obtained for the total magnetization is 0.0 Bohr magnetons per cell. As for the space-group type: No. 6. Its crystal system is monoclinic. The value obtained for the raw total energy is -6.111 eV per atom. Its calculated volume is 22.1 A^3/atom.

Cell lengths 4.5963, 3.7761, 5.4264 Å; angles 69.55, 90.00, 90.00 degrees
Sites, in units of the cell vectors:
As  0.5000  0.5518  0.7668
Sb  0.5000  0.2832  0.3111
Ta  0.0000  0.6906  0.4962
Sb  0.0000  0.9744  0.9259


Here is a geometry-optimized YBeAs3 structure from Alexandria. Energies are from PBE.

The value obtained for the total magnetization is 0.0 Bohr magnetons per cell. As for the formation energy: -0.14 eV/atom. As for the space-group type: No. 221. Its crystal system is cubic. Its calculated volume is 19.6 A^3/atom.

Cell lengths 4.6109, 4.6109, 4.6109 Å; angles 90.00, 90.00, 90.00 degrees
Sites, in units of the cell vectors:
As  0.0000  0.5000  0.0000
As  0.0000  0.0000  0.5000
As  0.5000  0.0000  0.0000
Y  0.5000  0.5000  0.5000
Be  0.0000  0.0000  0.0000


Here is a geometry-optimized GeTe2BrN structure from Alexandria. Energies are from PBE.

The value obtained for the total magnetization is 0.0 Bohr magnetons per cell. As for the space-group type: No. 123. Its crystal system is tetragonal. The value obtained for the raw total energy is -3.466 eV per atom. Its calculated volume is 24.3 A^3/atom.

Cell lengths 5.9150, 5.9150, 3.4789 Å; angles 90.00, 90.00, 90.00 degrees
Sites, in units of the cell vectors:
Te  0.0000  0.5000  0.0000
Ge  0.0000  0.0000  0.0000
Br  0.5000  0.5000  0.5000
N  0.0000  0.0000  0.5000
Te  0.5000  0.0000  0.0000


Here is a geometry-optimized PrHo2Tm5 structure from Alexandria. Energies are from PBE.

The value obtained for the total magnetization is 0.0 Bohr magnetons per cell. As for the formation energy: 0.02 eV/atom. As for the space-group type: No. 55. Its crystal system is orthorhombic. Its calculated volume is 30.9 A^3/atom.

Cell lengths 7.0592, 7.0461, 19.8665 Å; angles 90.00, 90.00, 90.00 degrees
Sites, in units of the cell vectors:
Tm  0.5000  0.7508  0.3747
Ho  0.2522  0.0000  0.5000
Tm  0.7478  0.4989  0.7500
Tm  0.7478  0.0000  0.0000
Tm  0.2522  0.9989  0.7500
Ho  0.2522  0.5000  0.0000
Ho  0.5000  0.2512  0.3747
Tm  0.5000  0.2492  0.6253
Pr  0.0000  0.2507  0.3747
Tm  0.2522  0.5011  0.2500
Tm  0.7478  0.9989  0.7500
Tm  0.0000  0.2495  0.6252
Ho  0.7478  0.0000  0.5000
Tm  0.0000  0.7505  0.3748
Tm  0.2522  0.4989  0.7500
Tm  0.2522  0.0000  0.0000
Tm  0.0000  0.7495  0.8748
Tm  0.5000  0.7492  0.8747
Tm  0.5000  0.2507  0.1253
Ho  0.7478  0.5000  0.0000
Ho  0.5000  0.7488  0.6253
Tm  0.2522  0.5000  0.5000
Pr  0.0000  0.7493  0.6253
Tm  0.7478  0.5011  0.2500
Pr  0.0000  0.7507  0.1253
Tm  0.0000  0.2505  0.1252
Ho  0.5000  0.7512  0.1253
Pr  0.0000  0.2493  0.8747
Tm  0.7478  0.5000  0.5000
Tm  0.7478  0.0011  0.2500
Tm  0.2522  0.0011  0.2500
Ho  0.5000  0.2488  0.8747


Here is a geometry-optimized Mn2ReSi structure from Alexandria. Energies are from PBE.

The value obtained for the total magnetization is 3.3 Bohr magnetons per cell. As for the space-group type: No. 47. Its crystal system is orthorhombic. The value obtained for the raw total energy is -9.161 eV per atom. Its calculated volume is 12.5 A^3/atom.

Cell lengths 2.9839, 4.0616, 4.1329 Å; angles 90.00, 90.00, 90.00 degrees
Each line ends with the local moment (μB).
Sites, in units of the cell vectors:
Si  0.0000  0.5000  0.5000  -0.01
Mn  0.0000  0.0000  0.0000  2.18
Mn  0.5000  0.5000  0.0000  1.18
Re  0.5000  0.0000  0.5000  -0.10


Here is a geometry-optimized HoTm5Mg3 structure from Alexandria. Energies are from PBE.

The value obtained for the total magnetization is 0.0 Bohr magnetons per cell. As for the formation energy: 0.38 eV/atom. As for the space-group type: No. 12. Its crystal system is monoclinic. Its calculated volume is 32.6 A^3/atom.

Cell lengths 7.2335, 7.2335, 11.8647 Å; angles 78.71, 78.71, 77.45 degrees
Sites, in units of the cell vectors:
Tm  0.3591  0.9929  0.2022
Tm  0.9929  0.3591  0.2022
Mg  0.2629  0.2629  0.4396
Tm  0.2761  0.2761  0.9324
Mg  0.4192  0.4192  0.2114
Mg  0.5808  0.5808  0.7886
Ho  0.8823  0.8823  0.2654
Mg  0.0000  0.0000  0.0000
Tm  0.5871  0.5871  0.3667
Tm  0.4129  0.4129  0.6333
Mg  0.0000  0.0000  0.5000
Tm  0.6409  0.0071  0.7978
Mg  0.7371  0.7371  0.5604
Tm  0.3077  0.6923  0.0000
Tm  0.7239  0.7239  0.0676
Tm  0.6923  0.3077  0.0000
Tm  0.0071  0.6409  0.7978
Ho  0.1177  0.1177  0.7346


Here is a geometry-optimized CaCeHg structure from Alexandria. Energies are from PBE.

The value obtained for the total magnetization is 1.6 Bohr magnetons per cell. As for the formation energy: -0.18 eV/atom. As for the space-group type: No. 107. Its crystal system is tetragonal. Its calculated volume is 31.0 A^3/atom.

Cell lengths 3.6643, 3.6643, 7.4019 Å; angles 104.33, 104.33, 90.00 degrees
Each line ends with the local moment (μB).
Sites, in units of the cell vectors:
Ca  0.0238  0.0238  0.0475  0.02
Ce  0.3115  0.3115  0.6229  1.12
Hg  0.6648  0.6648  0.3296  0.00


Here is a geometry-optimized TiTl3Zn structure from Alexandria. Energies are from PBE.

The value obtained for the total magnetization is 0.0 Bohr magnetons per cell. As for the formation energy: 0.79 eV/atom. As for the space-group type: No. 221. Its crystal system is cubic. Its calculated volume is 28.2 A^3/atom.

Cell lengths 5.2077, 5.2077, 5.2077 Å; angles 90.00, 90.00, 90.00 degrees
Sites, in units of the cell vectors:
Ti  0.5000  0.5000  0.5000
Zn  0.0000  0.0000  0.0000
Tl  0.0000  0.0000  0.5000
Tl  0.5000  0.0000  0.0000
Tl  0.0000  0.5000  0.0000